Density functional theory data (PBE) for an optimized crystal structure of Th3BeB2Rh9.

Summary:
VASP energy	-118.68	eV/cell
calculated formation energy	-0.88	eV per atom
total magnetic moment	0.000	μB per cell

```
data_Th3BeB2Rh9
_chemical_formula_sum 'Th3 Be1 B2 Rh9'
_space_group_name_H-M_alt 'P -3 m 1'
_space_group_IT_number 164
_space_group_name_Hall '-P 3 2"'
_cell_length_a 6.0679
_cell_length_b 6.0679
_cell_length_c 7.4408
_cell_angle_alpha 90.00
_cell_angle_beta 90.00
_cell_angle_gamma 120.00
loop_
_atom_site_label
_atom_site_fract_x
_atom_site_fract_y
_atom_site_fract_z
_atom_site_occupancy
Th1 0.0000 0.0000 0.0000 1
Th2 0.3333 0.6667 0.6625 1
Be1 0.0000 0.0000 0.5000 1
B1 0.3333 0.6667 0.1637 1
Rh1 0.0000 0.5000 0.0000 1
Rh2 0.1703 0.3406 0.3274 1
```



Density functional theory data (PBE) for an optimized crystal structure of Tm2BeB2Rh5.

Summary:
VASP energy	-141.08	eV/cell
calculated formation energy	-0.78	eV per atom
total magnetic moment	0.000	μB per cell

```
data_Tm2BeB2Rh5
_chemical_formula_sum 'Tm4 Be2 B4 Rh10'
_space_group_name_H-M_alt 'P 4/m b m'
_space_group_IT_number 127
_space_group_name_Hall '-P 4 2ab'
_cell_length_a 9.3531
_cell_length_b 9.3531
_cell_length_c 3.1000
_cell_angle_alpha 90.00
_cell_angle_beta 90.00
_cell_angle_gamma 90.00
loop_
_atom_site_label
_atom_site_fract_x
_atom_site_fract_y
_atom_site_fract_z
_atom_site_occupancy
Tm1 0.1756 0.3244 0.0000 1
Be1 0.0000 0.0000 0.0000 1
B1 0.1254 0.6254 0.0000 1
Rh1 0.0000 0.5000 0.5000 1
Rh2 0.0681 0.7880 0.5000 1
```



Density functional theory data (PBE) for an optimized crystal structure of Zr2BeBRh6.

Summary:
VASP energy	-313.24	eV/cell
calculated formation energy	-0.67	eV per atom
total magnetic moment	0.000	μB per cell

```
data_Zr2BeBRh6
_chemical_formula_sum 'Zr8 Be4 B4 Rh24'
_space_group_name_H-M_alt 'F m -3 m'
_space_group_IT_number 225
_space_group_name_Hall '-F 4 2 3'
_cell_length_a 8.3244
_cell_length_b 8.3244
_cell_length_c 8.3244
_cell_angle_alpha 90.00
_cell_angle_beta 90.00
_cell_angle_gamma 90.00
loop_
_atom_site_label
_atom_site_fract_x
_atom_site_fract_y
_atom_site_fract_z
_atom_site_occupancy
Zr1 0.2500 0.2500 0.2500 1
Be1 0.0000 0.0000 0.0000 1
B1 0.0000 0.0000 0.5000 1
Rh1 0.0000 0.0000 0.2538 1
```



Density functional theory data (PBE) for an optimized crystal structure of BeBRu.

Summary:
VASP energy	-83.19	eV/cell
calculated formation energy	-0.37	eV per atom
relative energy among the computed polymorphs	0.0	meV/atom
total magnetic moment	0.000	μB per cell

```
data_BeBRu
_chemical_formula_sum 'Be4 B4 Ru4'
_space_group_name_H-M_alt 'C 1 2/m 1'
_space_group_IT_number 12
_cell_length_a 7.6812
_cell_length_b 3.0678
_cell_length_c 5.4928
_cell_angle_alpha 90.00
_cell_angle_beta 122.88
_cell_angle_gamma 90.00
loop_
_space_group_symop_operation_xyz
'x,y,z'
'-x,-y,-z'
'-x,y,-z'
'x,-y,z'
'x+1/2,y+1/2,z'
'-x+1/2,-y+1/2,-z'
'-x+1/2,y+1/2,-z'
'x+1/2,-y+1/2,z'
loop_
_atom_site_label
_atom_site_fract_x
_atom_site_fract_y
_atom_site_fract_z
_atom_site_occupancy
Be1 0.1817 0.0000 0.0811 1
B1 0.1374 0.0000 0.6633 1
Ru1 0.0586 0.5000 0.3068 1
```